1.
Computed, not measured: a relaxed structure of Sm6Tc2Bi at the PBE level of DFT.

SG = No. 71

Cell lengths 8.7723, 8.7723, 8.7723 Å; angles 103.76, 112.68, 112.12 degrees
Fractional positions:
Sm: 0.4757 0.2831 0.1926
Tc: 0.5000 0.6120 0.1120
Sm: 0.2164 0.2384 0.4548
Bi: 0.0000 0.0000 0.0000
Sm: 0.7836 0.2384 0.0220
Tc: 0.5000 0.3880 0.8880
Sm: 0.2164 0.7616 0.9780
Sm: 0.5243 0.7169 0.8074
Sm: 0.3027 0.6187 0.3161
Tc: 0.6280 0.0000 0.6280
Sm: 0.9096 0.7169 0.1926
Sm: 0.6973 0.3813 0.6839
Sm: 0.0904 0.2831 0.8074
Sm: 0.3027 0.9866 0.6839
Tc: 0.3720 0.0000 0.3720
Sm: 0.7836 0.7616 0.5452
Sm: 0.6973 0.0134 0.3161
Bi: 0.0000 0.5000 0.5000

***

2.
Computed, not measured: a relaxed structure of Ba2ZnNi at the PBE level of DFT.

SG = No. 119

Cell lengths 6.5775, 6.5775, 6.5775 Å; angles 138.43, 138.43, 60.25 degrees
Fractional positions:
Ni: 0.5000 0.5000 0.0000
Ba: 0.2500 0.7500 0.5000
Zn: 0.7500 0.2500 0.5000
Ba: 0.0000 0.0000 0.0000

***

3.
Computed, not measured: a relaxed structure of SrZn2AgSn at the PBE level of DFT.

SG = No. 44

Cell lengths 4.5949, 4.5599, 6.4713 Å; angles 110.63, 110.79, 90.00 degrees
Fractional positions:
Ag: 0.1866 0.6866 0.3732
Zn: 0.6849 0.1849 0.3698
Sn: 0.8265 0.8265 0.6529
Sr: 0.4461 0.4461 0.8923
Zn: 0.0680 0.0680 0.1360

***

4.
Computed, not measured: a relaxed structure of Zr2Fe5SiB2 at the PBE level of DFT.

Formation energy (no corrections) = -0.485 eV per atom
SG = No. 127

Cell lengths 2.9458, 8.7813, 8.7813 Å; angles 90.00, 90.00, 90.00 degrees
Fractional positions:
Si: 0.0000 0.0000 0.0000
Fe: 0.5000 0.9336 0.2156
Fe: 0.5000 0.0664 0.7844
Zr: 0.0000 0.8235 0.6765
B: 0.0000 0.6209 0.8791
Fe: 0.5000 0.0000 0.5000
Si: 0.0000 0.5000 0.5000
Zr: 0.0000 0.3235 0.8235
Fe: 0.5000 0.4336 0.2844
Fe: 0.5000 0.5000 0.0000
Fe: 0.5000 0.7156 0.4336
B: 0.0000 0.3791 0.1209
Zr: 0.0000 0.1765 0.3235
Zr: 0.0000 0.6765 0.1765
Fe: 0.5000 0.2844 0.5664
Fe: 0.5000 0.2156 0.0664
Fe: 0.5000 0.5664 0.7156
B: 0.0000 0.8791 0.3791
B: 0.0000 0.1209 0.6209
Fe: 0.5000 0.7844 0.9336

***

5.
Computed, not measured: a relaxed structure of PrMg2CdAu4 at the PBE level of DFT.

SG = No. 166

Cell lengths 4.6793, 4.6793, 9.4083 Å; angles 75.60, 75.60, 60.00 degrees
Fractional positions:
Au: 0.6063 0.6063 0.1810
Au: 0.1217 0.1217 0.6349
Mg: 0.7620 0.7620 0.7140
Au: 0.8783 0.8783 0.3651
Mg: 0.2380 0.2380 0.2860
Pr: 0.0000 0.0000 0.0000
Au: 0.3937 0.3937 0.8190
Cd: 0.5000 0.5000 0.5000

***

6.
Computed, not measured: a relaxed structure of YTmCuPt at the PBE level of DFT.

SG = No. 38

Cell lengths 3.7486, 4.4078, 5.5702 Å; angles 90.00, 109.66, 90.00 degrees
Fractional positions:
Y: 0.1399 0.0000 0.2797
Pt: 0.4202 0.0000 0.8404
Cu: 0.5780 0.5000 0.1560
Tm: 0.8619 0.5000 0.7238

***

Number 1: VASP energy -109.22 eV per cell, size of the total moment 0.00 μB/f.u., density of states at the Fermi level 8.3 states/eV/f.u.. Number 2: VASP energy -9.90 eV per cell, size of the total moment 0.00 μB/f.u., density of states at the Fermi level 4.8 states/eV/f.u.. Number 3: VASP energy -12.52 eV per cell, size of the total moment 0.00 μB/f.u., density of states at the Fermi level 2.2 states/eV/f.u.. Number 4: VASP energy -166.08 eV per cell, size of the total moment 0.02 μB/f.u., density of states at the Fermi level 9.4 states/eV/f.u.. Number 5: VASP energy -26.43 eV per cell, size of the total moment 0.00 μB/f.u., density of states at the Fermi level 4.1 states/eV/f.u.. Number 6: VASP energy -24.36 eV per cell, size of the total moment 0.00 μB/f.u., density of states at the Fermi level 2.3 states/eV/f.u..